Material: YHoSb
Method: DFT, GGA-PBE
State: optimized geometry

Results
- spin magnetization (μB/cell) = 0.7
- E_tot (eV/atom) = -5.59

a b c (Å): 7.157 7.157 7.157
angles (deg): 90.00 90.00 90.00
Space group F-43m (No. 216)
One atom of each set of equivalent atoms:
Y  0.000  0.000  0.000 x4
Ho  0.000  0.000  0.500 x4
Sb  0.250  0.250  0.750 x4